# KTaSe (PBE, relaxed)
data_KTaSe
_symmetry_space_group_name_H-M 'F m m 2'
_symmetry_Int_Tables_number 42
_symmetry_space_group_name_Hall 'F 2 -2'
_cell_length_a 3.629
_cell_length_b 5.293
_cell_length_c 15.058
_cell_angle_alpha 90.00
_cell_angle_beta 90.00
_cell_angle_gamma 90.00
loop_
_atom_site_label
_atom_site_type_symbol
_atom_site_fract_x
_atom_site_fract_y
_atom_site_fract_z
_atom_site_occupancy
K1 K 0.000 0.000 0.000 1
Ta1 Ta 0.000 0.000 0.704 1
Se1 Se 0.000 0.000 0.323 1
# Formation energy without anion corrections   245 meV per atom
# Final energy   -5.233 eV/atom
# Size of the total moment   0.00 Bohr magnetons per cell
# V   289.24 Å³/cell
# Polymorph energy (0 for the lowest one)   23.5 kJ per mole of atoms

# KTaSe4 (PBE, relaxed)
data_KTaSe4
_symmetry_space_group_name_H-M 'C 1 2/c 1'
_symmetry_Int_Tables_number 15
_cell_length_a 7.872
_cell_length_b 14.578
_cell_length_c 6.441
_cell_angle_alpha 90.00
_cell_angle_beta 113.10
_cell_angle_gamma 90.00
loop_
_symmetry_equiv_pos_as_xyz
'x,y,z'
'-x,-y,-z'
'-x,y,-z+1/2'
'x,-y,z+1/2'
'x+1/2,y+1/2,z'
'-x+1/2,-y+1/2,-z'
'-x+1/2,y+1/2,-z+1/2'
'x+1/2,-y+1/2,z+1/2'
loop_
_atom_site_label
_atom_site_type_symbol
_atom_site_fract_x
_atom_site_fract_y
_atom_site_fract_z
_atom_site_occupancy
K1 K 0.000 0.151 0.250 1
Ta1 Ta 0.000 0.500 0.250 1
Se1 Se 0.069 0.360 0.532 1
Se2 Se 0.226 0.069 0.866 1
# Formation energy without anion corrections   -660 meV per atom
# Final energy   -5.141 eV/atom
# Size of the total moment   0.00 Bohr magnetons per cell
# V   679.90 Å³/cell
# Polymorph energy (0 for the lowest one)   0.0 kJ per mole of atoms

# K2TaSe4 (PBE, relaxed)
data_K2TaSe4
_symmetry_space_group_name_H-M 'P 1 21/m 1'
_symmetry_Int_Tables_number 11
_cell_length_a 7.412
_cell_length_b 6.388
_cell_length_c 10.653
_cell_angle_alpha 90.00
_cell_angle_beta 104.82
_cell_angle_gamma 90.00
loop_
_symmetry_equiv_pos_as_xyz
'x,y,z'
'-x,-y,-z'
'-x,y+1/2,-z'
'x,-y+1/2,z'
loop_
_atom_site_label
_atom_site_type_symbol
_atom_site_fract_x
_atom_site_fract_y
_atom_site_fract_z
_atom_site_occupancy
K1 K 0.215 0.250 0.446 1
K2 K 0.282 0.250 0.953 1
Ta1 Ta 0.289 0.750 0.215 1
Se1 Se 0.058 0.750 0.337 1
Se2 Se 0.160 0.750 0.986 1
Se3 Se 0.476 0.523 0.720 1
# Formation energy without anion corrections   -911 meV per atom
# Final energy   -4.909 eV/atom
# Size of the total moment   0.00 Bohr magnetons per cell
# V   487.61 Å³/cell
# Polymorph energy (0 for the lowest one)   0.0 kJ per mole of atoms

# KTaSe (PBE, relaxed)
data_KTaSe
_symmetry_space_group_name_H-M 'I 4 m m'
_symmetry_Int_Tables_number 107
_symmetry_space_group_name_Hall 'I 4 -2'
_cell_length_a 3.304
_cell_length_b 3.304
_cell_length_c 13.803
_cell_angle_alpha 90.00
_cell_angle_beta 90.00
_cell_angle_gamma 90.00
loop_
_atom_site_label
_atom_site_type_symbol
_atom_site_fract_x
_atom_site_fract_y
_atom_site_fract_z
_atom_site_occupancy
K1 K 0.000 0.000 0.000 1
Ta1 Ta 0.000 0.000 0.721 1
Se1 Se 0.000 0.000 0.312 1
# Formation energy without anion corrections   74 meV per atom
# Final energy   -5.404 eV/atom
# Size of the total moment   0.77 Bohr magnetons per cell
# V   150.66 Å³/cell
# Polymorph energy (0 for the lowest one)   7.0 kJ per mole of atoms

# K3TaTl2Se6 (PBE, relaxed)
data_K3TaTl2Se6
_symmetry_space_group_name_H-M 'C 1 2/m 1'
_symmetry_Int_Tables_number 12
_cell_length_a 7.395
_cell_length_b 12.786
_cell_length_c 7.887
_cell_angle_alpha 90.00
_cell_angle_beta 108.42
_cell_angle_gamma 90.00
loop_
_symmetry_equiv_pos_as_xyz
'x,y,z'
'-x,-y,-z'
'-x,y,-z'
'x,-y,z'
'x+1/2,y+1/2,z'
'-x+1/2,-y+1/2,-z'
'-x+1/2,y+1/2,-z'
'x+1/2,-y+1/2,z'
loop_
_atom_site_label
_atom_site_type_symbol
_atom_site_fract_x
_atom_site_fract_y
_atom_site_fract_z
_atom_site_occupancy
K1 K 0.000 0.000 0.000 1
K2 K 0.000 0.323 0.000 1
Ta1 Ta 0.000 0.500 0.500 1
Tl1 Tl 0.000 0.165 0.500 1
Se1 Se 0.212 0.354 0.700 1
Se2 Se 0.220 0.500 0.298 1
# Formation energy without anion corrections   -791 meV per atom
# Final energy   -4.190 eV/atom
# Size of the total moment   0.00 Bohr magnetons per cell
# V   707.43 Å³/cell

# K2TaTlSe4 (PBE, relaxed)
data_K2TaTlSe4
_symmetry_space_group_name_H-M 'I -4'
_symmetry_Int_Tables_number 82
_cell_length_a 8.382
_cell_length_b 8.382
_cell_length_c 8.411
_cell_angle_alpha 90.00
_cell_angle_beta 90.00
_cell_angle_gamma 90.00
loop_
_symmetry_equiv_pos_as_xyz
'x,y,z'
'y,-x,-z'
'-x,-y,z'
'-y,x,-z'
'x+1/2,y+1/2,z+1/2'
'y+1/2,-x+1/2,-z+1/2'
'-x+1/2,-y+1/2,z+1/2'
'-y+1/2,x+1/2,-z+1/2'
loop_
_atom_site_label
_atom_site_type_symbol
_atom_site_fract_x
_atom_site_fract_y
_atom_site_fract_z
_atom_site_occupancy
K1 K 0.000 0.000 0.000 1
K2 K 0.000 0.500 0.250 1
Ta1 Ta 0.000 0.500 0.750 1
Tl1 Tl 0.000 0.000 0.500 1
Se1 Se 0.165 0.328 0.587 1
# Formation energy without anion corrections   -908 meV per atom
# Final energy   -4.702 eV/atom
# Size of the total moment   0.00 Bohr magnetons per cell
# V   590.92 Å³/cell

Copy entry 2 word for word.
# KTaSe4 (PBE, relaxed)
data_KTaSe4
_symmetry_space_group_name_H-M 'C 1 2/c 1'
_symmetry_Int_Tables_number 15
_cell_length_a 7.872
_cell_length_b 14.578
_cell_length_c 6.441
_cell_angle_alpha 90.00
_cell_angle_beta 113.10
_cell_angle_gamma 90.00
loop_
_symmetry_equiv_pos_as_xyz
'x,y,z'
'-x,-y,-z'
'-x,y,-z+1/2'
'x,-y,z+1/2'
'x+1/2,y+1/2,z'
'-x+1/2,-y+1/2,-z'
'-x+1/2,y+1/2,-z+1/2'
'x+1/2,-y+1/2,z+1/2'
loop_
_atom_site_label
_atom_site_type_symbol
_atom_site_fract_x
_atom_site_fract_y
_atom_site_fract_z
_atom_site_occupancy
K1 K 0.000 0.151 0.250 1
Ta1 Ta 0.000 0.500 0.250 1
Se1 Se 0.069 0.360 0.532 1
Se2 Se 0.226 0.069 0.866 1
# Formation energy without anion corrections   -660 meV per atom
# Final energy   -5.141 eV/atom
# Size of the total moment   0.00 Bohr magnetons per cell
# V   679.90 Å³/cell
# Polymorph energy (0 for the lowest one)   0.0 kJ per mole of atoms